Record 1
! YHoTm6, relaxed, DFT GGA-PBE; values from VASP
! symmetry: P-6m2 (187)
! formation energy: 0.001 eV per atom
&SYSTEM
  ibrav = 0, nat = 8, ntyp = 3
/
ATOMIC_SPECIES
Y 88.91 Y.upf
Ho 164.93 Ho.upf
Tm 168.93 Tm.upf
ATOMIC_POSITIONS angstrom
Y 0.0000 0.0000 0.0000
Ho 0.0000 4.1246 2.7808
Tm 1.7917 1.0345 2.7808
Tm 3.5720 0.0052 0.0000
Tm 1.7905 3.0908 0.0000
Tm 5.3522 1.0345 2.7808
Tm 3.5720 4.1179 2.7808
Tm 5.3534 3.0908 0.0000
CELL_PARAMETERS angstrom
7.1440 0.0000 0.0000
-3.5720 6.1869 0.0000
0.0000 0.0000 5.5616

---

Record 2
! Y2HoTm, relaxed, DFT GGA-PBE; values from VASP
! symmetry: Cmcm (63)
! formation energy: 0.003 eV per atom
&SYSTEM
  ibrav = 0, nat = 8, ntyp = 3
/
ATOMIC_SPECIES
Y 88.91 Y.upf
Ho 164.93 Ho.upf
Tm 168.93 Tm.upf
ATOMIC_POSITIONS angstrom
Y 1.8077 1.0572 1.4010
Y 1.8077 -1.0572 4.2031
Y 5.4191 1.0572 1.4010
Y 5.4191 -1.0572 4.2031
Ho 3.6134 4.1572 1.4010
Ho 3.6134 -4.1572 4.2031
Tm 3.6134 2.0901 4.2031
Tm 3.6134 -2.0901 1.4010
CELL_PARAMETERS angstrom
3.6134 -6.2564 0.0000
3.6134 6.2564 0.0000
0.0000 0.0000 5.6041

---

Record 3
! Y2HoTm, relaxed, DFT GGA-PBE; values from VASP
! symmetry: Amm2 (38)
! formation energy: 0.003 eV per atom
&SYSTEM
  ibrav = 0, nat = 8, ntyp = 3
/
ATOMIC_SPECIES
Y 88.91 Y.upf
Ho 164.93 Ho.upf
Tm 168.93 Tm.upf
ATOMIC_POSITIONS angstrom
Y 0.0000 0.0000 0.0000
Y 0.0000 -1.7973 9.3852
Y 0.0000 1.7973 9.3852
Y 2.8026 0.0000 4.1801
Ho 0.0000 0.0000 6.2698
Ho 2.8026 0.0000 10.4286
Tm 2.8026 -1.7986 7.3046
Tm 2.8026 1.7986 7.3046
CELL_PARAMETERS angstrom
5.6051 0.0000 0.0000
0.0000 3.6119 6.2594
0.0000 -3.6119 6.2594